Record 1
## Cu2RePb (PBE-GGA)

Data for a relaxed structure of Cu2RePb.

## Properties
ΔH_f (0 K) = 0.670 eV per atom
calculated volume = 64.82 Å³ per cell
total energy = -5.4175 eV per atom
E above lowest polymorph = 101 meV per atom

Unit cell a=2.8436 b=4.5054 c=5.0597 alpha=90.00 beta=90.00 gamma=90.00
Last column: nearest neighbours and their distance in Å.
Space group Pmm2 (No. 25)
One atom of each set of equivalent atoms:
Cu (0.0000, 0.0000, 0.0000) x1  2 Re 2.67, 4 Cu 2.71-2.84, 4 Pb 2.86
Cu (0.0000, 0.5000, 0.2987) x1  4 Cu 2.71-2.84, 4 Re 2.77, 4 Pb 2.88-2.92
Re (0.5000, 0.0000, 0.4468) x1  6 Cu 2.67-2.77, 2 Re 2.84, 2 Pb 2.86
Pb (0.5000, 0.5000, 0.7944) x1  2 Pb 2.84, 2 Re 2.86, 8 Cu 2.86-2.92



Record 2
## CuRePb4 (PBE-GGA)

Data for a relaxed structure of CuRePb4.

## Properties
ΔH_f (0 K) = 1.332 eV per atom
calculated volume = 693.26 Å³ per cell
total energy = -3.8978 eV per atom

Unit cell a=8.8504 b=8.8504 c=8.8504 alpha=90.00 beta=90.00 gamma=90.00
Last column: nearest neighbours and their distance in Å.
Space group F-43m (No. 216)
One atom of each set of equivalent atoms:
Cu (0.0000, 0.0000, 0.0000) x4  12 Pb 3.67, 4 Re 3.83
Re (0.2500, 0.2500, 0.2500) x4  12 Pb 3.67, 4 Cu 3.83
Pb (0.1245, 0.1245, 0.6245) x16  6 Pb 3.12-3.14



Record 3
## CuReRh2Pb (PBE-GGA)

Data for a relaxed structure of CuReRh2Pb.

## Properties
ΔH_f (0 K) = 1.542 eV per atom
calculated volume = 96.14 Å³ per cell
total energy = -5.4495 eV per atom

Unit cell a=4.5346 b=4.5346 c=4.6755 alpha=90.00 beta=90.00 gamma=90.00
Last column: nearest neighbours and their distance in Å.
Space group P4/mmm (No. 123)
One atom of each set of equivalent atoms:
Cu (0.0000, 0.0000, 0.0000) x1  4 Rh 2.27, 2 Pb 2.34
Re (0.5000, 0.5000, 0.5000) x1  4 Pb 3.21, 8 Rh 3.26
Rh (0.0000, 0.5000, 0.0000) x2  2 Cu 2.27
Pb (0.0000, 0.0000, 0.5000) x1  2 Cu 2.34



Record 4
## CuRe2RhPb (PBE-GGA)

Data for a relaxed structure of CuRe2RhPb.

## Properties
ΔH_f (0 K) = 2.815 eV per atom
calculated volume = 116.50 Å³ per cell
total energy = -5.1955 eV per atom

Unit cell a=5.0286 b=5.0286 c=4.6069 alpha=90.00 beta=90.00 gamma=90.00
Last column: nearest neighbours and their distance in Å.
Space group P4/mmm (No. 123)
One atom of each set of equivalent atoms:
Cu (0.0000, 0.0000, 0.0000) x1  2 Pb 2.30
Re (0.0000, 0.5000, 0.5000) x2  2 Pb 2.51
Rh (0.5000, 0.5000, 0.0000) x1  8 Re 3.41, 4 Cu 3.56
Pb (0.0000, 0.0000, 0.5000) x1  2 Cu 2.30, 4 Re 2.51



Record 5
## CuRhPb2 (PBE-GGA)

Data for a relaxed structure of CuRhPb2.

## Properties
ΔH_f (0 K) = 0.197 eV per atom
calculated volume = 81.78 Å³ per cell
total energy = -4.5191 eV per atom
E above lowest polymorph = 149 meV per atom

Unit cell a=3.4821 b=3.4977 c=6.7384 alpha=90.00 beta=94.85 gamma=90.00
Last column: nearest neighbours and their distance in Å.
Space group P2/m (No. 10)
One atom of each set of equivalent atoms:
Cu (0.0000, 0.0000, 0.0000) x1  8 Pb 2.89-3.14
Rh (0.0000, 0.0000, 0.5000) x1  8 Pb 2.92-3.00
Pb (0.4792, 0.5000, 0.2572) x2  4 Cu 2.89-3.14, 4 Rh 2.92-3.00



Record 6
## Cu2RhPb (PBE-GGA)

Data for a relaxed structure of Cu2RhPb.

## Properties
ΔH_f (0 K) = 0.155 eV per atom
calculated volume = 64.48 Å³ per cell
total energy = -4.6580 eV per atom

Unit cell a=3.2857 b=3.3690 c=5.8245 alpha=90.00 beta=90.00 gamma=90.00
Last column: nearest neighbours and their distance in Å.
Space group Pmm2 (No. 25)
One atom of each set of equivalent atoms:
Cu (0.0000, 0.0000, 0.0000) x1  4 Cu 2.60, 4 Rh 2.76, 1 Pb 2.84
Cu (0.5000, 0.5000, 0.1898) x1  1 Rh 2.55, 4 Cu 2.60
Rh (0.5000, 0.5000, 0.7525) x1  5 Cu 2.55-2.76, 4 Pb 2.81
Pb (0.0000, 0.0000, 0.4876) x1  4 Rh 2.81, 6 Cu 2.84-2.98